## TbSm2Bi (PBE)

Data for a relaxed structure of TbSm2Bi.

Cell and atoms, written as POSCAR:
```
TbSm2Bi
1.0
4.2771 0.0000 0.0000
0.0000 4.2771 0.0000
0.0000 0.0000 6.8555
Tb Sm Bi
1 2 1
Direct
0.0000 0.0000 0.0000 Tb
0.5000 0.5000 0.2633 Sm
0.5000 0.5000 0.7367 Sm
0.0000 0.0000 0.5000 Bi
```

V = 31.35 Å³ per atom
Total magnetization = 0.000 μB per cell
E above lowest polymorph = 0.041 eV per atom
E_tot = -0.357 Ry/atom
SG = P4/mmm
Calculated formation energy = -144 kJ/mol of formula units
D(E_F) = 4.5 states/eV/f.u.

## TbSm2Bi (PBE)

Data for a relaxed structure of TbSm2Bi.

Cell and atoms, written as POSCAR:
```
TbSm2Bi
1.0
4.9131 0.0000 0.0000
0.0000 4.9131 0.0000
0.0000 0.0000 4.9504
Tb Sm Bi
1 2 1
Direct
0.0000 0.0000 0.0000 Tb
0.0000 0.5000 0.5000 Sm
0.5000 0.0000 0.5000 Sm
0.5000 0.5000 0.0000 Bi
```

V = 29.87 Å³ per atom
Total magnetization = 0.000 μB per cell
E above lowest polymorph = 0.026 eV per atom
E_tot = -0.358 Ry/atom
SG = P4/mmm
Calculated formation energy = -150 kJ/mol of formula units
D(E_F) = 4.3 states/eV/f.u.

## Tb4SmBi5 (PBE)

Data for a relaxed structure of Tb4SmBi5.

Cell and atoms, written as POSCAR:
```
Tb4SmBi5
1.0
-2.2532 2.2532 15.9237
2.2532 -2.2532 15.9237
2.2532 2.2532 -15.9237
Tb Sm Bi
4 1 5
Direct
0.1002 0.1002 0.0000 Tb
0.2995 0.2995 0.0000 Tb
0.7005 0.7005 0.0000 Tb
0.8998 0.8998 0.0000 Tb
0.5000 0.5000 0.0000 Sm
0.0000 0.0000 0.0000 Bi
0.1999 0.1999 0.0000 Bi
0.3991 0.3991 0.0000 Bi
0.6009 0.6009 0.0000 Bi
0.8001 0.8001 0.0000 Bi
```

V = 32.34 Å³ per atom
Total magnetization = 0.000 μB per cell
E_tot = -0.379 Ry/atom
SG = I4/mmm
Calculated formation energy = -858 kJ/mol of formula units
D(E_F) = 1.2 states/eV/f.u.

## TbSm3Bi2 (PBE)

Data for a relaxed structure of TbSm3Bi2.

Cell and atoms, written as POSCAR:
```
TbSm3Bi2
1.0
9.4299 -2.2015 0.0000
9.4299 2.2015 0.0000
-4.3565 0.0000 9.2240
Tb Sm Bi
2 6 4
Direct
0.1098 0.1098 0.1105 Tb
0.8902 0.8902 0.8895 Tb
0.0552 0.0552 0.6710 Sm
0.3121 0.3121 0.1077 Sm
0.3552 0.3552 0.5248 Sm
0.6448 0.6448 0.4752 Sm
0.6879 0.6879 0.8923 Sm
0.9448 0.9448 0.3290 Sm
0.2517 0.2517 0.7225 Bi
0.4932 0.4932 0.1563 Bi
0.5068 0.5068 0.8437 Bi
0.7483 0.7483 0.2775 Bi
```

V = 31.91 Å³ per atom
Total magnetization = 0.479 μB per cell
E above lowest polymorph = 0.122 eV per atom
E_tot = -0.363 Ry/atom
SG = C2/m
Calculated formation energy = -298 kJ/mol of formula units
D(E_F) = 7.3 states/eV/f.u.

## Tb3Sm2Bi2 (PBE)

Data for a relaxed structure of Tb3Sm2Bi2.

Cell and atoms, written as POSCAR:
```
Tb3Sm2Bi2
1.0
6.1819 -2.1780 0.0000
6.1819 2.1780 0.0000
-2.8053 0.0000 8.2935
Tb Sm Bi
3 2 2
Direct
0.0000 0.0000 0.0000 Tb
0.1252 0.1252 0.4468 Tb
0.8748 0.8748 0.5532 Tb
0.3729 0.3729 0.2199 Sm
0.6271 0.6271 0.7801 Sm
0.3264 0.3264 0.8058 Bi
0.6736 0.6736 0.1942 Bi
```

V = 31.90 Å³ per atom
Total magnetization = 0.000 μB per cell
E_tot = -0.361 Ry/atom
SG = C2/m
Calculated formation energy = -322 kJ/mol of formula units
D(E_F) = 7.9 states/eV/f.u.

## Tb3SmBi2 (PBE)

Data for a relaxed structure of Tb3SmBi2.

Cell and atoms, written as POSCAR:
```
Tb3SmBi2
1.0
9.3882 -2.1930 0.0000
9.3882 2.1930 0.0000
-4.0788 0.0000 9.1330
Tb Sm Bi
6 2 4
Direct
0.0570 0.0570 0.1715 Tb
0.3118 0.3118 0.6091 Tb
0.3588 0.3588 0.0230 Tb
0.6412 0.6412 0.9770 Tb
0.6882 0.6882 0.3909 Tb
0.9430 0.9430 0.8285 Tb
0.1107 0.1107 0.6149 Sm
0.8893 0.8893 0.3851 Sm
0.2492 0.2492 0.2154 Bi
0.4906 0.4906 0.6573 Bi
0.5094 0.5094 0.3427 Bi
0.7508 0.7508 0.7846 Bi
```

V = 31.34 Å³ per atom
Total magnetization = 0.480 μB per cell
E above lowest polymorph = 0.095 eV per atom
E_tot = -0.360 Ry/atom
SG = C2/m
Calculated formation energy = -295 kJ/mol of formula units
D(E_F) = 6.9 states/eV/f.u.

## TbSmBi2 (PBE)

Data for a relaxed structure of TbSmBi2.

Cell and atoms, written as POSCAR:
```
TbSmBi2
1.0
3.9175 -2.2652 0.0000
3.9175 2.2652 0.0000
-2.6237 0.0000 7.3863
Tb Sm Bi
1 1 2
Direct
0.0000 0.0000 0.0000 Tb
0.5000 0.5000 0.5000 Sm
0.2515 0.2515 0.7544 Bi
0.7485 0.7485 0.2456 Bi
```

V = 32.77 Å³ per atom
Total magnetization = 0.000 μB per cell
E above lowest polymorph = 0.000 eV per atom
E_tot = -0.381 Ry/atom
SG = C2/m
Calculated formation energy = -348 kJ/mol of formula units
D(E_F) = 0.7 states/eV/f.u.

## Tb5Sm3Bi8 (PBE)

Data for a relaxed structure of Tb5Sm3Bi8.

Cell and atoms, written as POSCAR:
```
Tb5Sm3Bi8
1.0
4.5187 2.6088 7.3774
-4.5187 2.6088 7.3774
0.0000 -5.2177 7.3774
Tb Sm Bi
5 3 8
Direct
0.0000 0.0000 0.0000 Tb
0.0000 0.5000 0.5000 Tb
0.5000 0.0000 0.5000 Tb
0.5000 0.5000 0.0000 Tb
0.5000 0.5000 0.5000 Tb
0.0000 0.0000 0.5000 Sm
0.0000 0.5000 0.0000 Sm
0.5000 0.0000 0.0000 Sm
0.2500 0.2500 0.7471 Bi
0.2500 0.7471 0.2500 Bi
0.2515 0.2515 0.2515 Bi
0.2529 0.7500 0.7500 Bi
0.7471 0.2500 0.2500 Bi
0.7485 0.7485 0.7485 Bi
0.7500 0.2529 0.7500 Bi
0.7500 0.7500 0.2529 Bi
```

V = 32.61 Å³ per atom
Total magnetization = 0.000 μB per cell
E_tot = -0.380 Ry/atom
SG = R-3m
Calculated formation energy = -1382 kJ/mol of formula units
D(E_F) = 2.9 states/eV/f.u.

## Tb3SmBi4 (PBE)

Data for a relaxed structure of Tb3SmBi4.

Cell and atoms, written as POSCAR:
```
Tb3SmBi4
1.0
4.5087 -6.3764 0.0000
4.5087 6.3764 0.0000
0.0000 0.0000 4.5118
Tb Sm Bi
3 1 4
Direct
0.0000 0.0000 0.0000 Tb
0.0000 0.5000 0.5000 Tb
0.5000 0.0000 0.5000 Tb
0.5000 0.5000 0.0000 Sm
0.2470 0.2470 0.5000 Bi
0.2485 0.7515 0.0000 Bi
0.7515 0.2485 0.0000 Bi
0.7530 0.7530 0.5000 Bi
```

V = 32.43 Å³ per atom
Total magnetization = 0.000 μB per cell
E above lowest polymorph = 0.005 eV per atom
E_tot = -0.379 Ry/atom
SG = Cmmm
Calculated formation energy = -687 kJ/mol of formula units
D(E_F) = 1.2 states/eV/f.u.

## TbSmBi2 (PBE)

Data for a relaxed structure of TbSmBi2.

Cell and atoms, written as POSCAR:
```
TbSmBi2
1.0
2.2462 1.2968 7.6869
-2.2462 1.2968 7.6869
0.0000 -2.5937 7.6869
Tb Sm Bi
1 1 2
Direct
0.0000 0.0000 0.0000 Tb
0.1708 0.1708 0.1708 Sm
0.5852 0.5852 0.5852 Bi
0.7521 0.7521 0.7521 Bi
```

V = 33.59 Å³ per atom
Total magnetization = 0.000 μB per cell
E above lowest polymorph = 0.109 eV per atom
E_tot = -0.373 Ry/atom
SG = R3m
Calculated formation energy = -306 kJ/mol of formula units
D(E_F) = 0.5 states/eV/f.u.

## Tb4Sm3Bi8 (PBE)

Data for a relaxed structure of Tb4Sm3Bi8.

Cell and atoms, written as POSCAR:
```
Tb4Sm3Bi8
1.0
6.3680 -6.3712 0.0000
6.3680 6.3712 0.0000
-6.3348 0.0000 6.3727
Tb Sm Bi
4 3 8
Direct
0.0000 0.0000 0.0000 Tb
0.0000 0.0000 0.5000 Tb
0.0000 0.5000 0.0000 Tb
0.5000 0.0000 0.0000 Tb
0.0000 0.5000 0.5000 Sm
0.5000 0.0000 0.5000 Sm
0.5000 0.5000 0.5000 Sm
0.2486 0.7514 0.5000 Bi
0.2513 0.2513 0.5061 Bi
0.2518 0.2518 0.9965 Bi
0.2532 0.7468 0.0000 Bi
0.7468 0.2532 0.0000 Bi
0.7482 0.7482 0.0035 Bi
0.7487 0.7487 0.4939 Bi
0.7514 0.2486 0.5000 Bi
```

V = 34.47 Å³ per atom
Total magnetization = 0.000 μB per cell
E_tot = -0.364 Ry/atom
SG = C2/m
Calculated formation energy = -1018 kJ/mol of formula units
D(E_F) = 8.5 states/eV/f.u.

## Tb2SmBi2 (PBE)

Data for a relaxed structure of Tb2SmBi2.

Cell and atoms, written as POSCAR:
```
Tb2SmBi2
1.0
3.7381 -3.0824 0.0000
3.7381 3.0824 0.0000
-2.0229 0.0000 7.1897
Tb Sm Bi
2 1 2
Direct
0.2499 0.7501 0.0000 Tb
0.7501 0.2499 0.0000 Tb
0.0000 0.0000 0.5000 Sm
0.3295 0.3295 0.2915 Bi
0.6705 0.6705 0.7085 Bi
```

V = 33.14 Å³ per atom
Total magnetization = 0.000 μB per cell
E_tot = -0.352 Ry/atom
SG = C2/m
Calculated formation energy = -213 kJ/mol of formula units
D(E_F) = 4.3 states/eV/f.u.

## Tb3Sm5Bi8 (PBE)

Data for a relaxed structure of Tb3Sm5Bi8.

Cell and atoms, written as POSCAR:
```
Tb3Sm5Bi8
1.0
4.5352 2.6184 7.4044
-4.5352 2.6184 7.4044
0.0000 -5.2368 7.4044
Tb Sm Bi
3 5 8
Direct
0.0000 0.5000 0.5000 Tb
0.5000 0.0000 0.5000 Tb
0.5000 0.5000 0.0000 Tb
0.0000 0.0000 0.0000 Sm
0.0000 0.0000 0.5000 Sm
0.0000 0.5000 0.0000 Sm
0.5000 0.0000 0.0000 Sm
0.5000 0.5000 0.5000 Sm
0.2500 0.2500 0.7471 Bi
0.2500 0.7471 0.2500 Bi
0.2514 0.2514 0.2514 Bi
0.2529 0.7500 0.7500 Bi
0.7471 0.2500 0.2500 Bi
0.7486 0.7486 0.7486 Bi
0.7500 0.2529 0.7500 Bi
0.7500 0.7500 0.2529 Bi
```

V = 32.97 Å³ per atom
Total magnetization = 0.000 μB per cell
E_tot = -0.381 Ry/atom
SG = R-3m
Calculated formation energy = -1400 kJ/mol of formula units
D(E_F) = 2.8 states/eV/f.u.

## TbSm3Bi2 (PBE)

Data for a relaxed structure of TbSm3Bi2.

Cell and atoms, written as POSCAR:
```
TbSm3Bi2
1.0
4.6106 0.0000 0.0000
0.0000 4.6106 0.0000
0.0000 0.0000 8.8454
Tb Sm Bi
1 3 2
Direct
0.0000 0.0000 0.0000 Tb
0.0000 0.5000 0.3504 Sm
0.5000 0.0000 0.6496 Sm
0.5000 0.5000 0.0000 Sm
0.0000 0.5000 0.7195 Bi
0.5000 0.0000 0.2805 Bi
```

V = 31.34 Å³ per atom
Total magnetization = 0.000 μB per cell
E above lowest polymorph = 0.000 eV per atom
E_tot = -0.372 Ry/atom
SG = P-4m2
Calculated formation energy = -369 kJ/mol of formula units
D(E_F) = 5.0 states/eV/f.u.

## TbSm2Bi (PBE)

Data for a relaxed structure of TbSm2Bi.

Cell and atoms, written as POSCAR:
```
TbSm2Bi
1.0
2.0543 1.1860 9.6473
-2.0543 1.1860 9.6473
0.0000 -2.3721 9.6473
Tb Sm Bi
1 2 1
Direct
0.0000 0.0000 0.0000 Tb
0.2374 0.2374 0.2374 Sm
0.4293 0.4293 0.4293 Sm
0.8336 0.8336 0.8336 Bi
```

V = 35.26 Å³ per atom
Total magnetization = 0.819 μB per cell
E above lowest polymorph = 0.229 eV per atom
E_tot = -0.344 Ry/atom
SG = R3m
Calculated formation energy = -72 kJ/mol of formula units
D(E_F) = 4.7 states/eV/f.u.

## TbSm4Bi5 (PBE)

Data for a relaxed structure of TbSm4Bi5.

Cell and atoms, written as POSCAR:
```
TbSm4Bi5
1.0
-2.2732 2.2732 16.0647
2.2732 -2.2732 16.0647
2.2732 2.2732 -16.0647
Tb Sm Bi
1 4 5
Direct
0.0000 0.0000 0.0000 Tb
0.1996 0.1996 0.0000 Sm
0.4002 0.4002 0.0000 Sm
0.5998 0.5998 0.0000 Sm
0.8004 0.8004 0.0000 Sm
0.0991 0.0991 0.0000 Bi
0.3000 0.3000 0.0000 Bi
0.5000 0.5000 0.0000 Bi
0.7000 0.7000 0.0000 Bi
0.9009 0.9009 0.0000 Bi
```

V = 33.21 Å³ per atom
Total magnetization = 0.000 μB per cell
E_tot = -0.383 Ry/atom
SG = I4/mmm
Calculated formation energy = -885 kJ/mol of formula units
D(E_F) = 1.2 states/eV/f.u.

## Tb3SmBi3 (PBE)

Data for a relaxed structure of Tb3SmBi3.

Cell and atoms, written as POSCAR:
```
Tb3SmBi3
1.0
4.6097 2.6614 6.3066
-4.6097 2.6614 6.3066
0.0000 -5.3228 6.3066
Tb Sm Bi
6 2 6
Direct
0.0839 0.3416 0.8220 Tb
0.1780 0.9161 0.6584 Tb
0.3416 0.8220 0.0839 Tb
0.6584 0.1780 0.9161 Tb
0.8220 0.0839 0.3416 Tb
0.9161 0.6584 0.1780 Tb
0.3337 0.3337 0.3337 Sm
0.6663 0.6663 0.6663 Sm
0.0820 0.6987 0.4719 Bi
0.3013 0.5281 0.9180 Bi
0.4719 0.0820 0.6987 Bi
0.5281 0.9180 0.3013 Bi
0.6987 0.4719 0.0820 Bi
0.9180 0.3013 0.5281 Bi
```

V = 33.16 Å³ per atom
Total magnetization = 0.000 μB per cell
E_tot = -0.367 Ry/atom
SG = R-3
Calculated formation energy = -457 kJ/mol of formula units
D(E_F) = 4.8 states/eV/f.u.

## Tb4Sm3Bi4 (PBE)

Data for a relaxed structure of Tb4Sm3Bi4.

Cell and atoms, written as POSCAR:
```
Tb4Sm3Bi4
1.0
-2.1732 2.2749 18.3051
2.1732 -2.2749 18.3051
2.1732 2.2749 -18.3051
Tb Sm Bi
4 3 4
Direct
0.0981 0.0981 0.0000 Tb
0.2502 0.7502 0.5000 Tb
0.7498 0.2498 0.5000 Tb
0.9019 0.9019 0.0000 Tb
0.0000 0.5000 0.5000 Sm
0.3421 0.3421 0.0000 Sm
0.6579 0.6579 0.0000 Sm
0.1842 0.1842 0.0000 Bi
0.4569 0.9569 0.5000 Bi
0.5431 0.0431 0.5000 Bi
0.8158 0.8158 0.0000 Bi
```

V = 32.91 Å³ per atom
Total magnetization = 0.337 μB per cell
E_tot = -0.352 Ry/atom
SG = Immm
Calculated formation energy = -439 kJ/mol of formula units
D(E_F) = 11.6 states/eV/f.u.

## Tb4SmBi5 (PBE)

Data for a relaxed structure of Tb4SmBi5.

Cell and atoms, written as POSCAR:
```
Tb4SmBi5
1.0
-2.2536 3.1845 11.2607
2.2536 -3.1845 11.2607
2.2536 3.1845 -11.2607
Tb Sm Bi
4 1 5
Direct
0.1000 0.1000 0.0000 Tb
0.2992 0.2992 0.0000 Tb
0.7008 0.7008 0.0000 Tb
0.9000 0.9000 0.0000 Tb
0.5000 0.5000 0.0000 Sm
0.0000 0.5000 0.5000 Bi
0.1996 0.6996 0.5000 Bi
0.3984 0.8984 0.5000 Bi
0.6016 0.1016 0.5000 Bi
0.8004 0.3004 0.5000 Bi
```

V = 32.32 Å³ per atom
Total magnetization = 0.000 μB per cell
E_tot = -0.379 Ry/atom
SG = Immm
Calculated formation energy = -858 kJ/mol of formula units
D(E_F) = 2.0 states/eV/f.u.

## TbSmBi2 (PBE)

Data for a relaxed structure of TbSmBi2.

Cell and atoms, written as POSCAR:
```
TbSmBi2
1.0
4.5121 0.0000 0.0000
-2.2560 3.9076 0.0000
0.0000 0.0000 14.9786
Tb Sm Bi
2 2 4
Direct
0.3333 0.6667 0.2500 Tb
0.6667 0.3333 0.7500 Tb
0.0000 0.0000 0.0000 Sm
0.0000 0.0000 0.5000 Sm
0.3333 0.6667 0.6245 Bi
0.3333 0.6667 0.8755 Bi
0.6667 0.3333 0.1245 Bi
0.6667 0.3333 0.3755 Bi
```

V = 33.01 Å³ per atom
Total magnetization = 0.000 μB per cell
E above lowest polymorph = 0.070 eV per atom
E_tot = -0.376 Ry/atom
SG = P6_3/mmc
Calculated formation energy = -321 kJ/mol of formula units
D(E_F) = 0.9 states/eV/f.u.

## TbSm12Bi6 (PBE)

Data for a relaxed structure of TbSm12Bi6.

Cell and atoms, written as POSCAR:
```
TbSm12Bi6
1.0
7.2585 4.1907 3.6859
-7.2585 4.1907 3.6859
0.0000 -8.3814 3.6859
Tb Sm Bi
1 12 6
Direct
0.0000 0.0000 0.0000 Tb
0.0228 0.3256 0.9277 Sm
0.0723 0.9772 0.6744 Sm
0.1743 0.5079 0.3713 Sm
0.3256 0.9277 0.0228 Sm
0.3713 0.1743 0.5079 Sm
0.4921 0.6287 0.8257 Sm
0.5079 0.3713 0.1743 Sm
0.6287 0.8257 0.4921 Sm
0.6744 0.0723 0.9772 Sm
0.8257 0.4921 0.6287 Sm
0.9277 0.0228 0.3256 Sm
0.9772 0.6744 0.0723 Sm
0.1333 0.3476 0.6311 Bi
0.3476 0.6311 0.1333 Bi
0.3689 0.8667 0.6524 Bi
0.6311 0.1333 0.3476 Bi
0.6524 0.3689 0.8667 Bi
0.8667 0.6524 0.3689 Bi
```

V = 35.41 Å³ per atom
Total magnetization = 0.000 μB per cell
E_tot = -0.350 Ry/atom
SG = R-3
Calculated formation energy = -563 kJ/mol of formula units
D(E_F) = 17.1 states/eV/f.u.

## Tb3SmBi2 (PBE)

Data for a relaxed structure of Tb3SmBi2.

Cell and atoms, written as POSCAR:
```
Tb3SmBi2
1.0
4.5811 0.0000 0.0000
0.0000 4.5811 0.0000
0.0000 0.0000 8.7247
Tb Sm Bi
3 1 2
Direct
0.0000 0.0000 0.0000 Tb
0.0000 0.5000 0.6520 Tb
0.5000 0.0000 0.3480 Tb
0.5000 0.5000 0.0000 Sm
0.0000 0.5000 0.2851 Bi
0.5000 0.0000 0.7149 Bi
```

V = 30.52 Å³ per atom
Total magnetization = 0.000 μB per cell
E above lowest polymorph = 0.000 eV per atom
E_tot = -0.367 Ry/atom
SG = P-4m2
Calculated formation energy = -350 kJ/mol of formula units
D(E_F) = 4.9 states/eV/f.u.

## Tb5SmBi5 (PBE)

Data for a relaxed structure of Tb5SmBi5.

Cell and atoms, written as POSCAR:
```
Tb5SmBi5
1.0
7.0123 -3.1578 0.0000
7.0123 3.1578 0.0000
-2.8029 0.0000 8.4513
Tb Sm Bi
5 1 5
Direct
0.0000 0.0000 0.0000 Tb
0.3351 0.3351 0.6695 Tb
0.3364 0.3364 0.1647 Tb
0.6636 0.6636 0.8353 Tb
0.6649 0.6649 0.3305 Tb
0.0000 0.0000 0.5000 Sm
0.1678 0.1678 0.8378 Bi
0.1706 0.1706 0.3307 Bi
0.5000 0.5000 0.5000 Bi
0.8294 0.8294 0.6693 Bi
0.8322 0.8322 0.1622 Bi
```

V = 34.02 Å³ per atom
Total magnetization = 0.000 μB per cell
E_tot = -0.367 Ry/atom
SG = C2/m
Calculated formation energy = -735 kJ/mol of formula units
D(E_F) = 4.0 states/eV/f.u.